DFT (GGA-PBE) results for a geometry-optimized ZrTi5Rh4 structure.

Summary:
**Theoretical density**: 7.7 g/cm3
**Raw total energy**: -83.53 eV/cell
**Formation energy**: -611 meV/atom

Lattice parameters (Å, degrees): 3.1538 3.1538 16.0436 90.00 90.00 90.00
Fractional coordinates of all 10 atoms:
Zr 0.0000 0.0000 0.0000
Ti 0.5000 0.5000 0.1224
Ti 0.5000 0.5000 0.3114
Ti 0.5000 0.5000 0.5000
Ti 0.5000 0.5000 0.6886
Ti 0.5000 0.5000 0.8776
Rh 0.0000 0.0000 0.2181
Rh 0.0000 0.0000 0.4056
Rh 0.0000 0.0000 0.5944
Rh 0.0000 0.0000 0.7819

DFT (GGA-PBE) results for a geometry-optimized CsSbPHPt structure.

Summary:
**Theoretical density**: 6.1 g/cm3
**Raw total energy**: -21.31 eV/cell
**ΔE to the lowest computed polymorph**: 9.5 kJ/mol of atoms

Lattice parameters (Å, degrees): 5.0811 4.0353 6.7215 90.00 106.85 90.00
Fractional coordinates of all 5 atoms:
Cs 0.8808 0.5000 0.1425
Sb 0.2091 0.0000 0.6908
P 0.6916 0.0000 0.5180
H 0.2469 0.0000 0.9644
Pt 0.4908 0.5000 0.6115

DFT (GGA-PBE) results for a geometry-optimized LaB3Cl structure.

Summary:
**Theoretical density**: 4.4 g/cm3
**Raw total energy**: -18.80 eV/cell
**ΔE to the lowest computed polymorph**: 0.0 kJ/mol of atoms
**Energy relative to the elements, uncorrected**: 1602 meV/atom

Lattice parameters (Å, degrees): 4.2795 4.2795 4.2795 90.00 90.00 90.00
Fractional coordinates of all 5 atoms:
B 0.0000 0.5000 0.0000
B 0.0000 0.0000 0.5000
B 0.5000 0.0000 0.0000
Cl 0.0000 0.0000 0.0000
La 0.5000 0.5000 0.5000

DFT (GGA-PBE) results for a geometry-optimized AcEu2Sb structure.

Summary:
**Theoretical density**: 7.9 g/cm3
**Raw total energy**: -30.79 eV/cell
**ΔE to the lowest computed polymorph**: 0.0 kJ/mol of atoms
**Energy relative to the elements, uncorrected**: -502 meV/atom

Lattice parameters (Å, degrees): 5.2997 5.0815 5.0815 90.00 90.00 90.00
Fractional coordinates of all 4 atoms:
Eu 0.0000 0.0000 0.5000
Eu 0.0000 0.5000 0.0000
Sb 0.5000 0.0000 0.0000
Ac 0.5000 0.5000 0.5000

DFT (GGA-PBE) results for a geometry-optimized BeCoSe2 structure.

Summary:
**Theoretical density**: 6.2 g/cm3
**Raw total energy**: -14.72 eV/cell
**Energy relative to the elements, uncorrected**: 771 meV/atom

Lattice parameters (Å, degrees): 4.3960 4.3960 4.3960 60.00 60.00 60.00
Fractional coordinates of all 4 atoms:
Be 0.5000 0.5000 0.5000
Co 0.7500 0.7500 0.7500
Se 0.0000 0.0000 0.0000
Se 0.2500 0.2500 0.2500

DFT (GGA-PBE) results for a geometry-optimized ReRh2W structure.

Summary:
**Theoretical density**: 14.7 g/cm3
**Raw total energy**: -74.98 eV/cell
**Formation energy**: 653 meV/atom
**ΔE to the lowest computed polymorph**: 82.3 kJ/mol of atoms

Lattice parameters (Å, degrees): 6.9526 6.9526 5.6022 51.65 51.65 90.00
Fractional coordinates of all 8 atoms:
Re 0.0000 0.0000 0.0000
Re 0.7500 0.2500 0.5000
Rh 0.6217 0.1250 0.2500
Rh 0.1283 0.6250 0.2500
Rh 0.3750 0.3783 0.7500
Rh 0.8750 0.8717 0.7500
W 0.5000 0.5000 0.0000
W 0.2500 0.7500 0.5000

DFT (GGA-PBE) results for a geometry-optimized Er4Ga3Ru structure.

Summary:
**Theoretical density**: 9.5 g/cm3
**Raw total energy**: -41.17 eV/cell
**Formation energy**: -570 meV/atom
**ΔE to the lowest computed polymorph**: 0.0 kJ/mol of atoms

Lattice parameters (Å, degrees): 3.4794 3.4794 14.2079 90.00 90.00 90.00
Fractional coordinates of all 8 atoms:
Ru 0.5000 0.5000 0.0000
Ga 0.5000 0.5000 0.2439
Ga 0.5000 0.5000 0.5000
Ga 0.5000 0.5000 0.7561
Er 0.0000 0.0000 0.8863
Er 0.0000 0.0000 0.1137
Er 0.0000 0.0000 0.3707
Er 0.0000 0.0000 0.6293

DFT (GGA-PBE) results for a geometry-optimized BeCo3Ni structure.

Summary:
**Theoretical density**: 5.4 g/cm3
**Raw total energy**: -24.25 eV/cell
**Formation energy**: 1315 meV/atom
**ΔE to the lowest computed polymorph**: 72.5 kJ/mol of atoms

Lattice parameters (Å, degrees): 4.2181 4.2181 4.2181 90.00 90.00 90.00
Fractional coordinates of all 5 atoms:
Ni 0.0000 0.0000 0.0000
Co 0.0000 0.5000 0.0000
Co 0.0000 0.0000 0.5000
Co 0.5000 0.0000 0.0000
Be 0.5000 0.5000 0.5000

DFT (GGA-PBE) results for a geometry-optimized Mg4AgPt2Au structure.

Summary:
**Theoretical density**: 9.7 g/cm3
**Raw total energy**: -29.77 eV/cell
**Formation energy**: -648 meV/atom

Lattice parameters (Å, degrees): 4.5883 4.5883 7.9030 73.12 73.12 60.00
Fractional coordinates of all 8 atoms:
Mg 0.3760 0.3760 0.8719
Mg 0.8744 0.8744 0.3769
Mg 0.1256 0.1256 0.6231
Mg 0.6240 0.6240 0.1281
Ag 0.0000 0.0000 0.0000
Pt 0.7488 0.7488 0.7536
Pt 0.2512 0.2512 0.2464
Au 0.5000 0.5000 0.5000

DFT (GGA-PBE) results for a geometry-optimized Pm3Nd2Sm structure.

Summary:
**Theoretical density**: 6.9 g/cm3
**Raw total energy**: -54.09 eV/cell
**Formation energy**: 243 meV/atom
**ΔE to the lowest computed polymorph**: 9.8 kJ/mol of atoms

Lattice parameters (Å, degrees): 3.4484 6.8010 18.0164 90.00 90.00 90.00
Fractional coordinates of all 12 atoms:
Pm 0.0000 0.0000 0.0000
Pm 0.5000 0.5000 0.5000
Pm 0.5000 0.7363 0.8208
Pm 0.5000 0.2637 0.1792
Pm 0.0000 0.2363 0.6792
Pm 0.0000 0.7637 0.3208
Nd 0.5000 0.7687 0.1511
Nd 0.0000 0.2687 0.3489
Nd 0.0000 0.7313 0.6511
Nd 0.5000 0.2313 0.8489
Sm 0.0000 0.0000 0.5000
Sm 0.5000 0.5000 0.0000

DFT (GGA-PBE) results for a geometry-optimized Tl2CdPbO6 structure.

Summary:
**Theoretical density**: 9.2 g/cm3
**Raw total energy**: -47.11 eV/cell
**Energy relative to the elements, uncorrected**: -800 meV/atom

Lattice parameters (Å, degrees): 5.8165 5.8165 6.0824 61.43 61.43 59.99
Fractional coordinates of all 10 atoms:
Tl 0.5289 0.5289 0.4133
Tl 0.0266 0.0266 0.9201
Cd 0.8040 0.8040 0.5881
Pb 0.3124 0.3125 0.0626
O 0.6076 0.2108 0.2510
O 0.2108 0.9306 0.2510
O 0.9306 0.6076 0.2510
O 0.4114 0.7016 0.7594
O 0.7016 0.1276 0.7594
O 0.1276 0.4115 0.7594

DFT (GGA-PBE) results for a geometry-optimized Tc4Rh5 structure.

Summary:
**Theoretical density**: 11.7 g/cm3
**Raw total energy**: -78.84 eV/cell
**Formation energy**: -69 meV/atom
**ΔE to the lowest computed polymorph**: 0.0 kJ/mol of atoms

Lattice parameters (Å, degrees): 8.1523 8.1523 6.0818 47.92 47.92 90.00
Fractional coordinates of all 9 atoms:
Rh 0.0000 0.0000 0.0000
Rh 0.3314 0.3314 0.0000
Rh 0.3314 0.6686 0.0000
Rh 0.6686 0.3314 0.0000
Rh 0.6686 0.6686 0.0000
Tc 0.0000 0.3387 0.0000
Tc 0.0000 0.6613 0.0000
Tc 0.3387 0.0000 0.0000
Tc 0.6613 0.0000 0.0000

What did the eighth record say?
DFT (GGA-PBE) results for a geometry-optimized BeCo3Ni structure.

Summary:
**Theoretical density**: 5.4 g/cm3
**Raw total energy**: -24.25 eV/cell
**Formation energy**: 1315 meV/atom
**ΔE to the lowest computed polymorph**: 72.5 kJ/mol of atoms

Lattice parameters (Å, degrees): 4.2181 4.2181 4.2181 90.00 90.00 90.00
Fractional coordinates of all 5 atoms:
Ni 0.0000 0.0000 0.0000
Co 0.0000 0.5000 0.0000
Co 0.0000 0.0000 0.5000
Co 0.5000 0.0000 0.0000
Be 0.5000 0.5000 0.5000